PBE HfZrVNi, optimized geometry; magnetization = 1.59 Bohr magnetons per cell; density of states at the Fermi level = 4.5 states/eV/cell; DFT formation energy = -0.057 eV/atom
1.0
4.599 0.000 0.000
2.300 3.983 0.000
2.300 1.328 3.755
Ni Hf Zr V
1 1 1 1
direct
0.250 0.250 0.250 Ni
0.500 0.500 0.500 Hf
0.000 0.000 0.000 Zr
0.750 0.750 0.750 V